! TbPm2Pr4Nd | Alexandria | PBE-GGA | relaxed; values from VASP
! V = 35.53 A^3/atom
! Final energy = -4.389 eV per atom
! Total magnetic moment = 0.0 μB/cell
! Crystal system = monoclinic
! DOS at the Fermi energy = 37.533 states/eV/cell
! E_form = 280.7 kJ/mol of formula units
&SYSTEM
  ibrav = 0, nat = 16, ntyp = 4
/
ATOMIC_SPECIES
Tb 158.93 Tb.upf
Pm 145.00 Pm.upf
Pr 140.91 Pr.upf
Nd 144.24 Nd.upf
CELL_PARAMETERS angstrom
6.964 -6.742 0.000
6.964 6.742 0.000
-3.471 0.000 6.054
ATOMIC_POSITIONS crystal
Tb 0.000 0.000 0.000
Tb 0.000 0.000 0.500
Pm 0.000 0.500 0.000
Pm 0.500 0.000 0.500
Pm 0.500 0.500 0.000
Pm 0.500 0.500 0.500
Pr 0.247 0.752 0.499
Pr 0.248 0.249 0.948
Pr 0.248 0.753 0.001
Pr 0.249 0.248 0.448
Pr 0.751 0.752 0.552
Pr 0.752 0.247 0.999
Pr 0.752 0.751 0.052
Pr 0.753 0.248 0.501
Nd 0.000 0.500 0.500
Nd 0.500 0.000 0.000